# Th2ScPd (GGA-PBE, optimized geometry)
# - Energy relative to the lowest polymorph listed for this composition: 408 meV per atom
# - DOS(E_F): 15.6 states/eV per cell
# - Volume: 26.8 Å³/atom
data_Th2ScPd
_cell_length_a 3.3567
_cell_length_b 3.3567
_cell_length_c 32.9870
_cell_angle_alpha 90.00
_cell_angle_beta 90.00
_cell_angle_gamma 120.00
_symmetry_space_group_name_H-M 'R -3 m'
_symmetry_Int_Tables_number 166
_symmetry_space_group_name_Hall '-R 3 2"'
loop_
_atom_site_label
_atom_site_type_symbol
_atom_site_fract_x
_atom_site_fract_y
_atom_site_fract_z
Th1 Th 0.0000 0.0000 0.0950
Sc1 Sc 0.0000 0.0000 0.0000
Pd1 Pd 0.0000 0.0000 0.5000